(1)
Density functional theory data (PBE) for crystalline PbW2Se at its relaxed geometry.

Lattice parameters (Å, degrees): 4.991 4.991 4.991 128.11 128.11 76.45
Fractional coordinates of all 4 atoms:
Se 0.750 0.250 0.500
W 0.250 0.750 0.500
W 0.000 0.000 0.000
Pb 0.500 0.500 0.000

Summary:
formation energy from raw total energies	992	meV per atom
V	18.692	Å³/atom
energy above the lowest structure with this stoichiometry	647	meV/atom
space-group type	I-4m2
D(E_F)	0.331	states/eV per atom



(2)
Density functional theory data (PBE) for crystalline PbW2Se at its relaxed geometry.

Lattice parameters (Å, degrees): 4.120 4.478 4.915 81.47 90.00 90.00
Fractional coordinates of all 4 atoms:
W 0.000 0.478 0.598
W 0.000 0.022 0.902
Pb 0.500 0.250 0.250
Se 0.500 0.750 0.750

Summary:
formation energy from raw total energies	923	meV per atom
V	22.420	Å³/atom
energy above the lowest structure with this stoichiometry	579	meV/atom
space-group type	P2/m
D(E_F)	0.410	states/eV per atom



(3)
Density functional theory data (PBE) for crystalline PbW2Se at its relaxed geometry.

Lattice parameters (Å, degrees): 4.660 4.660 4.660 60.00 60.00 60.00
Fractional coordinates of all 4 atoms:
Pb 0.500 0.500 0.500
Se 0.000 0.000 0.000
W 0.750 0.750 0.750
W 0.250 0.250 0.250

Summary:
formation energy from raw total energies	1056	meV per atom
V	17.886	Å³/atom
energy above the lowest structure with this stoichiometry	712	meV/atom
space-group type	Fm-3m
D(E_F)	0.756	states/eV per atom



(4)
Density functional theory data (PBE) for crystalline PbW2Se at its relaxed geometry.

Lattice parameters (Å, degrees): 9.219 9.219 9.219 19.19 19.19 19.19
Fractional coordinates of all 4 atoms:
W 0.011 0.011 0.011
W 0.489 0.489 0.489
Se 0.750 0.750 0.750
Pb 0.250 0.250 0.250

Summary:
formation energy from raw total energies	845	meV per atom
V	18.505	Å³/atom
energy above the lowest structure with this stoichiometry	500	meV/atom
space-group type	R-3m
D(E_F)	0.865	states/eV per atom



(5)
Density functional theory data (PBE) for crystalline PbWSe2 at its relaxed geometry.

Lattice parameters (Å, degrees): 3.356 5.029 5.029 90.00 90.00 90.00
Site moments in Bohr magnetons follow the coordinates.
Fractional coordinates of all 4 atoms:
Se 0.000 0.500 0.500  -0.04
Se 0.000 0.000 0.000  -0.04
Pb 0.500 0.000 0.500  0.01
W 0.500 0.500 0.000  1.68

Summary:
formation energy from raw total energies	675	meV per atom
V	21.222	Å³/atom
space-group type	P4/mmm
D(E_F)	0.763	states/eV per atom



(6)
Density functional theory data (PBE) for crystalline PbWSe at its relaxed geometry.

Lattice parameters (Å, degrees): 7.457 7.457 7.457 155.67 155.67 34.68
Fractional coordinates of all 3 atoms:
Se 0.284 0.284 0.000
W 0.688 0.688 0.000
Pb 0.028 0.028 0.000

Summary:
formation energy from raw total energies	227	meV per atom
V	23.440	Å³/atom
energy above the lowest structure with this stoichiometry	107	meV/atom
space-group type	I4mm
D(E_F)	0.288	states/eV per atom



(7)
Density functional theory data (PBE) for crystalline PbW2Se at its relaxed geometry.

Lattice parameters (Å, degrees): 4.460 5.846 3.468 73.28 88.66 112.00
Fractional coordinates of all 4 atoms:
W 0.500 0.000 0.500
W 0.000 0.000 0.000
Se 0.500 0.500 0.000
Pb 0.000 0.500 0.500

Summary:
formation energy from raw total energies	1083	meV per atom
V	19.853	Å³/atom
energy above the lowest structure with this stoichiometry	738	meV/atom
space-group type	C2/m
D(E_F)	0.966	states/eV per atom



(8)
Density functional theory data (PBE) for crystalline Pb3WSe at its relaxed geometry.

Lattice parameters (Å, degrees): 5.416 5.416 5.416 90.00 90.00 90.00
Site moments in Bohr magnetons follow the coordinates.
Fractional coordinates of all 5 atoms:
W 0.000 0.000 0.000  1.01
Pb 0.000 0.000 0.500  0.04
Pb 0.000 0.500 0.000  -0.01
Pb 0.500 0.000 0.000  -0.03
Se 0.500 0.500 0.500  0.40

Summary:
formation energy from raw total energies	635	meV per atom
V	31.769	Å³/atom
energy above the lowest structure with this stoichiometry	0	meV/atom
space-group type	Pm-3m
D(E_F)	0.721	states/eV per atom